1.
Compound: Ba2CaPd
Source: Alexandria via LeMat-Bulk
Functional: PBE-GGA
Structure: optimized geometry

For the energy above the most stable polymorph in this dataset, the calculation gives 116 meV per atom. As for the electronic total energy: -12.0 eV/cell. The formation energy comes out at -89 kJ/mol of formula units. The value obtained for the spin magnetization is 0.1 μB per cell. The crystal system is tetragonal.

It has space group P4/mmm (No. 123), with a = 3.989 Å, b = 3.989 Å, c = 10.393 Å, α = 90.00°, β = 90.00° and γ = 90.00°. The distinct sites, in fractional coordinates, are Ba at (0.000, 0.000, 0.179), Ca at (0.500, 0.500, 0.500) and Pd at (0.500, 0.500, 0.000).

2.
Compound: UGeOs
Source: Alexandria via LeMat-Bulk
Functional: PBE-GGA
Structure: optimized geometry

As for the electronic total energy: -109.5 eV/cell. The formation energy comes out at -22 kJ/mol of formula units. The value obtained for the spin magnetization is 0.0 μB per cell. The crystal system is monoclinic.

It has space group C2/c (No. 15), with a = 4.490 Å, b = 10.088 Å, c = 5.194 Å, α = 90.00°, β = 114.47° and γ = 90.00°. The distinct sites, in fractional coordinates, are U at (0.000, 0.216, 0.250), Ge at (0.000, 0.091, 0.750) and Os at (0.000, 0.452, 0.750).